Run P
The following is a PBE calculation of LiNbZn2 after structural relaxation, from Alexandria.

## Properties
The total moment comes out at 0.000 μB/f.u. As for the symmetry: I-42d (122).

abc: 6.8511 6.8511 5.5793
angles: 52.12 52.12 90.00
Closest atoms and distances in Å follow each position.
Element x y z (fractional)
Nb 0.0000 0.0000 0.0000  4 Zn 2.65, 2 Li 2.77
Nb 0.7500 0.2500 0.5000  4 Zn 2.65, 2 Li 2.77
Zn 0.5980 0.1250 0.2500  2 Li 2.40, 2 Nb 2.65
Zn 0.1520 0.6250 0.2500  2 Li 2.40, 2 Nb 2.65
Zn 0.3750 0.4020 0.7500  2 Li 2.40, 2 Nb 2.65
Zn 0.8750 0.8480 0.7500  2 Li 2.40, 2 Nb 2.65
Li 0.5000 0.5000 0.0000  4 Zn 2.40
Li 0.2500 0.7500 0.5000  4 Zn 2.40

***

Run Q
The following is a PBE calculation of LiNbZn2 after structural relaxation, from Alexandria.

## Properties
The total moment comes out at 0.000 μB/f.u. As for the symmetry: P4/mmm (123).

abc: 2.7032 4.8790 4.8790
angles: 90.00 90.00 90.00
Closest atoms and distances in Å follow each position.
Element x y z (fractional)
Nb 0.5000 0.5000 0.5000  2 Nb 2.70, 8 Zn 2.79
Zn 0.0000 0.0000 0.5000  2 Zn 2.70, 4 Nb 2.79, 4 Li 2.79
Zn 0.0000 0.5000 0.0000  2 Zn 2.70, 4 Nb 2.79, 4 Li 2.79
Li 0.5000 0.0000 0.0000  2 Li 2.70, 8 Zn 2.79

***

Run R
The following is a PBE calculation of LiNbZn2 after structural relaxation, from Alexandria.

## Properties
The total moment comes out at 0.000 μB/f.u. As for the symmetry: P4/mmm (123).

abc: 2.8647 2.8647 7.4241
angles: 90.00 90.00 90.00
Closest atoms and distances in Å follow each position.
Element x y z (fractional)
Nb 0.5000 0.5000 0.5000  8 Zn 2.85, 4 Nb 2.86
Zn 0.0000 0.0000 0.7693  4 Li 2.65, 4 Nb 2.85, 4 Zn 2.86
Zn 0.0000 0.0000 0.2307  4 Li 2.65, 4 Nb 2.85, 4 Zn 2.86
Li 0.5000 0.5000 0.0000  8 Zn 2.65, 4 Li 2.86

***

Run S
The following is a PBE calculation of LiNbZn2 after structural relaxation, from Alexandria.

## Properties
The total moment comes out at 0.000 μB/f.u. As for the symmetry: Fm-3m (225).

abc: 4.4319 4.4319 4.4319
angles: 60.00 60.00 60.00
Closest atoms and distances in Å follow each position.
Element x y z (fractional)
Nb 0.5000 0.5000 0.5000  8 Zn 2.71
Zn 0.2500 0.2500 0.2500  4 Nb 2.71, 4 Li 2.71
Zn 0.7500 0.7500 0.7500  4 Nb 2.71, 4 Li 2.71
Li 0.0000 0.0000 0.0000  8 Zn 2.71

***

Energies relative to the most stable structure, in meV per atom: run P 484; run Q 70; run R 0; run S 187.

***

Run P
The following is a PBE calculation of Li2ZrNb after structural relaxation, from Alexandria.

## Properties
The total moment comes out at 0.000 μB/f.u. As for the symmetry: Fm-3m (225).

abc: 4.5799 4.5799 4.5799
angles: 60.00 60.00 60.00
Closest atoms and distances in Å follow each position.
Element x y z (fractional)
Nb 0.5000 0.5000 0.5000  8 Li 2.80
Zr 0.0000 0.0000 0.0000  8 Li 2.80
Li 0.2500 0.2500 0.2500  4 Zr 2.80, 4 Nb 2.80
Li 0.7500 0.7500 0.7500  4 Nb 2.80, 4 Zr 2.80

***

Run Q
The following is a PBE calculation of Li2ZrNb after structural relaxation, from Alexandria.

## Properties
The total moment comes out at 0.000 μB/f.u. As for the symmetry: I-42d (122).

abc: 7.5082 7.5082 5.9071
angles: 50.54 50.54 90.00
Closest atoms and distances in Å follow each position.
Element x y z (fractional)
Nb 0.0000 0.0000 0.0000  2 Zr 2.59, 4 Li 2.70
Nb 0.7500 0.2500 0.5000  2 Zr 2.59, 4 Li 2.70
Zr 0.5000 0.5000 0.0000  2 Nb 2.59, 4 Li 2.76
Zr 0.2500 0.7500 0.5000  2 Nb 2.59, 4 Li 2.76
Li 0.6311 0.1250 0.2500  2 Li 2.59, 2 Nb 2.70, 2 Zr 2.76
Li 0.1189 0.6250 0.2500  2 Li 2.59, 2 Nb 2.70, 2 Zr 2.76
Li 0.3750 0.3689 0.7500  2 Li 2.59, 2 Nb 2.70, 2 Zr 2.76
Li 0.8750 0.8811 0.7500  2 Li 2.59, 2 Nb 2.70, 2 Zr 2.76

***

Energies relative to the most stable structure, in meV per atom: run P 0; run Q 148.